# HoNpAgO6 | Alexandria via LeMat-Bulk | PBE-GGA | optimized geometry
# ΔE_f (raw): -2.2291 eV per atom
data_HoNpAgO6
_cell_length_a 5.1784
_cell_length_b 5.1784
_cell_length_c 9.9477
_cell_angle_alpha 90.00
_cell_angle_beta 90.00
_cell_angle_gamma 90.00
_symmetry_space_group_name_H-M 'P 42 n m'
_symmetry_Int_Tables_number 102
_symmetry_space_group_name_Hall 'P 4n -2n'
loop_
_atom_site_label
_atom_site_type_symbol
_atom_site_fract_x
_atom_site_fract_y
_atom_site_fract_z
Ho1 Ho 0.0000 0.0000 0.0000
Np1 Np 0.0000 0.0000 0.6578
Ag1 Ag 0.0000 0.0000 0.3245
O1 O 0.1747 0.1747 0.8087
O2 O 0.1878 0.1878 0.5072
O3 O 0.2142 0.2142 0.1570

# Zn3PtW | Alexandria via LeMat-Bulk | PBE-GGA | optimized geometry
# formation enthalpy at 0 K: 1.0331 eV per atom
data_Zn3PtW
_cell_length_a 4.7246
_cell_length_b 4.7246
_cell_length_c 4.7246
_cell_angle_alpha 90.00
_cell_angle_beta 90.00
_cell_angle_gamma 90.00
_symmetry_space_group_name_H-M 'P m -3 m'
_symmetry_Int_Tables_number 221
_symmetry_space_group_name_Hall '-P 4 2 3'
loop_
_atom_site_label
_atom_site_type_symbol
_atom_site_fract_x
_atom_site_fract_y
_atom_site_fract_z
Zn1 Zn 0.0000 0.0000 0.5000
Pt1 Pt 0.0000 0.0000 0.0000
W1 W 0.5000 0.5000 0.5000

# PPt | Alexandria via LeMat-Bulk | PBE-GGA | optimized geometry
# formation enthalpy at 0 K: -0.2015 eV per atom
data_PPt
_cell_length_a 10.4351
_cell_length_b 3.4966
_cell_length_c 3.4348
_cell_angle_alpha 90.00
_cell_angle_beta 90.17
_cell_angle_gamma 90.00
_symmetry_space_group_name_H-M 'C 1 2/m 1'
_symmetry_Int_Tables_number 12
_symmetry_space_group_name_Hall '-C 2y'
loop_
_atom_site_label
_atom_site_type_symbol
_atom_site_fract_x
_atom_site_fract_y
_atom_site_fract_z
P1 P 0.1557 0.0000 0.2536
Pt1 Pt 0.1136 0.5000 0.7590

Material: CsSi2HO5
Method: DFT, PBE-GGA
State: optimized geometry

Structure (CIF):
```
data_CsSi2HO5
_cell_length_a 5.0818
_cell_length_b 8.9461
_cell_length_c 13.0804
_cell_angle_alpha 90.00
_cell_angle_beta 90.00
_cell_angle_gamma 90.00
_symmetry_space_group_name_H-M 'P 21 21 21'
_symmetry_Int_Tables_number 19
_symmetry_space_group_name_Hall 'P 2ac 2ab'
loop_
_atom_site_label
_atom_site_type_symbol
_atom_site_fract_x
_atom_site_fract_y
_atom_site_fract_z
Cs1 Cs 0.0759 0.2458 0.3129
Si1 Si 0.0458 0.9290 0.5655
Si2 Si 0.0476 0.5689 0.5702
H1 H 0.0117 0.0032 0.7397
O1 O 0.0644 0.7503 0.5913
O2 O 0.1130 0.4771 0.6716
O3 O 0.1157 0.0253 0.6665
O4 O 0.2482 0.5286 0.4743
O5 O 0.2494 0.9717 0.4724
```

# LaGe2Bi | Alexandria via LeMat-Bulk | PBE-GGA | optimized geometry
# formation enthalpy at 0 K: -0.1897 eV per atom
data_LaGe2Bi
_cell_length_a 8.2910
_cell_length_b 8.2910
_cell_length_c 6.4892
_cell_angle_alpha 90.00
_cell_angle_beta 90.00
_cell_angle_gamma 90.00
_symmetry_space_group_name_H-M 'I -4 2 d'
_symmetry_Int_Tables_number 122
_symmetry_space_group_name_Hall 'I -4 2bw'
loop_
_atom_site_label
_atom_site_type_symbol
_atom_site_fract_x
_atom_site_fract_y
_atom_site_fract_z
La1 La 0.0000 0.0000 0.0000
Ge1 Ge 0.2373 0.2500 0.6250
Bi1 Bi 0.0000 0.0000 0.5000

Material: BeHAu
Method: DFT, PBE-GGA
State: optimized geometry

Structure (CIF):
```
data_BeHAu
_cell_length_a 9.8302
_cell_length_b 2.6933
_cell_length_c 6.3963
_cell_angle_alpha 90.00
_cell_angle_beta 117.49
_cell_angle_gamma 90.00
_symmetry_space_group_name_H-M 'C 1 m 1'
_symmetry_Int_Tables_number 8
_symmetry_space_group_name_Hall 'C -2y'
loop_
_atom_site_label
_atom_site_type_symbol
_atom_site_fract_x
_atom_site_fract_y
_atom_site_fract_z
Be1 Be 0.0000 0.0000 0.0000
Be2 Be 0.0917 0.0000 0.3905
H1 H 0.0831 0.5000 0.5023
H2 H 0.4348 0.5000 0.1704
Au1 Au 0.2263 0.5000 0.1960
Au2 Au 0.3964 0.0000 0.6674
```

# NaPr3Os | Alexandria via LeMat-Bulk | PBE-GGA | optimized geometry
# formation enthalpy at 0 K: 0.1151 eV per atom
data_NaPr3Os
_cell_length_a 5.6916
_cell_length_b 5.6916
_cell_length_c 5.6916
_cell_angle_alpha 90.00
_cell_angle_beta 90.00
_cell_angle_gamma 90.00
_symmetry_space_group_name_H-M 'P m -3 m'
_symmetry_Int_Tables_number 221
_symmetry_space_group_name_Hall '-P 4 2 3'
loop_
_atom_site_label
_atom_site_type_symbol
_atom_site_fract_x
_atom_site_fract_y
_atom_site_fract_z
Na1 Na 0.0000 0.0000 0.0000
Pr1 Pr 0.0000 0.5000 0.5000
Os1 Os 0.5000 0.5000 0.5000

# CaMnPb2 | Alexandria via LeMat-Bulk | PBE-GGA | optimized geometry
# formation enthalpy at 0 K: 0.1992 eV per atom
data_CaMnPb2
_cell_length_a 7.6634
_cell_length_b 7.6634
_cell_length_c 7.6634
_cell_angle_alpha 90.00
_cell_angle_beta 90.00
_cell_angle_gamma 90.00
_symmetry_space_group_name_H-M 'F -4 3 m'
_symmetry_Int_Tables_number 216
_symmetry_space_group_name_Hall 'F -4 2 3'
loop_
_atom_site_label
_atom_site_type_symbol
_atom_site_fract_x
_atom_site_fract_y
_atom_site_fract_z
Ca1 Ca 0.0000 0.0000 0.0000
Mn1 Mn 0.2500 0.2500 0.7500
Pb1 Pb 0.0000 0.0000 0.5000
Pb2 Pb 0.2500 0.2500 0.2500

# DyMgAgPd | Alexandria via LeMat-Bulk | PBE-GGA | optimized geometry
# formation enthalpy at 0 K: -0.5384 eV per atom
data_DyMgAgPd
_cell_length_a 6.8727
_cell_length_b 6.8727
_cell_length_c 6.8727
_cell_angle_alpha 90.00
_cell_angle_beta 90.00
_cell_angle_gamma 90.00
_symmetry_space_group_name_H-M 'F -4 3 m'
_symmetry_Int_Tables_number 216
_symmetry_space_group_name_Hall 'F -4 2 3'
loop_
_atom_site_label
_atom_site_type_symbol
_atom_site_fract_x
_atom_site_fract_y
_atom_site_fract_z
Dy1 Dy 0.0000 0.0000 0.0000
Mg1 Mg 0.0000 0.0000 0.5000
Ag1 Ag 0.2500 0.2500 0.7500
Pd1 Pd 0.2500 0.2500 0.2500

Total energy readings, ordered: -7.7978, -3.5301, -5.9268, -6.8385, -4.7005, -3.3750, -5.2624, -4.4477, -4.0986 eV/atom